Here is an optimized crystal structure of CaAg2Te from Alexandria via LeMat-Bulk. Energies are from PBE.

a = 4.2765 Å, b = 4.2765 Å, c = 11.7264 Å
α = 79.49°, β = 79.49°, γ = 90.00°
With the nearest neighbours (Å) after each atom.
Fractional coordinates of all 8 atoms:
1 Ag 0.6225 0.1250 0.2500  4 Ag 3.01-3.04, 2 Ca 3.21, 2 Te 3.21
2 Te 0.7500 0.2500 0.5000  4 Ca 3.02, 4 Ag 3.21
3 Te 0.0000 0.0000 0.0000  4 Ca 3.02, 4 Ag 3.21
4 Ca 0.5000 0.5000 0.0000  4 Te 3.02, 4 Ag 3.21
5 Ag 0.3750 0.3775 0.7500  4 Ag 3.01-3.04, 2 Ca 3.21, 2 Te 3.21
6 Ca 0.2500 0.7500 0.5000  4 Te 3.02, 4 Ag 3.21
7 Ag 0.1275 0.6250 0.2500  4 Ag 3.01-3.04, 2 Ca 3.21, 2 Te 3.21
8 Ag 0.8750 0.8725 0.7500  4 Ag 3.01-3.04, 2 Ca 3.21, 2 Te 3.21

Computed properties:
* density: 6.1 g/cm³
* electronic total energy: -24.83 eV per cell
* space group: No. 122